Compound: Rb3Ho3AlTe8
Source: Alexandria via LeMat-Bulk
Functional: PBE
Structure: relaxed

Geometry as CIF:
```
data_Rb3Ho3AlTe8
_chemical_formula_sum 'Rb3 Ho3 Al1 Te8'
_cell_length_a 8.6745
_cell_length_b 8.6745
_cell_length_c 10.2131
_cell_angle_alpha 115.10
_cell_angle_beta 115.10
_cell_angle_gamma 60.05
_space_group_name_H-M_alt 'P 1'
_space_group_IT_number 1
loop_
_space_group_symop_operation_xyz
'x,y,z'
loop_
_atom_site_label
_atom_site_fract_x
_atom_site_fract_y
_atom_site_fract_z
Rb1 0.0000 0.0000 0.0000
Rb2 0.0000 0.5000 0.0000
Rb3 0.5000 0.0000 0.0000
Ho1 0.0000 0.5000 0.5000
Ho2 0.5000 0.0000 0.5000
Ho3 0.5000 0.5000 0.5000
Al1 0.0000 0.0000 0.5000
Te1 0.2197 0.2197 0.6880
Te2 0.2195 0.7488 0.6879
Te3 0.2512 0.7805 0.3121
Te4 0.2665 0.2665 0.2992
Te5 0.7335 0.7335 0.7008
Te6 0.7488 0.2195 0.6879
Te7 0.7805 0.2512 0.3121
Te8 0.7803 0.7803 0.3120
```

Calculated values
* formation energy without anion corrections: -16.500 eV/f.u.
* space-group type: C2/m (12)

Compound: TaCr2FeCu
Source: Alexandria via LeMat-Bulk
Functional: PBE
Structure: relaxed

Geometry as CIF:
```
data_TaCr2FeCu
_chemical_formula_sum 'Ta1 Cr2 Fe1 Cu1'
_cell_length_a 4.3296
_cell_length_b 4.3296
_cell_length_c 4.6533
_cell_angle_alpha 90.00
_cell_angle_beta 90.00
_cell_angle_gamma 90.00
_space_group_name_H-M_alt 'P 1'
_space_group_IT_number 1
loop_
_space_group_symop_operation_xyz
'x,y,z'
loop_
_atom_site_label
_atom_site_fract_x
_atom_site_fract_y
_atom_site_fract_z
Ta1 0.0000 0.0000 0.0000
Cr1 0.0000 0.5000 0.5000
Cr2 0.5000 0.0000 0.5000
Fe1 0.5000 0.5000 0.0000
Cu1 0.0000 0.0000 0.5000
```

Calculated values
* ΔH_f (0 K): 8.2 eV/f.u.
* space-group type: P4/mmm (123)

Compound: LiLaY2
Source: Alexandria via LeMat-Bulk
Functional: PBE
Structure: relaxed

Geometry as CIF:
```
data_LiLaY2
_chemical_formula_sum 'Li1 La1 Y2'
_cell_length_a 6.6378
_cell_length_b 6.6378
_cell_length_c 6.6378
_cell_angle_alpha 146.75
_cell_angle_beta 129.99
_cell_angle_gamma 61.38
_space_group_name_H-M_alt 'P 1'
_space_group_IT_number 1
loop_
_space_group_symop_operation_xyz
'x,y,z'
loop_
_atom_site_label
_atom_site_fract_x
_atom_site_fract_y
_atom_site_fract_z
Li1 0.0000 0.0000 0.0000
La1 0.7708 0.2708 0.5000
Y1 0.2172 0.7172 0.5000
Y2 0.4902 0.4902 0.0000
```

Calculated values
* ΔH_f (0 K): 0.3 eV/f.u.
* relative energy among the computed polymorphs: 9 meV/atom
* space-group type: Imm2 (44)

Compound: Dy2ZrPaAs4
Source: Alexandria via LeMat-Bulk
Functional: PBE
Structure: relaxed

Geometry as CIF:
```
data_Dy2ZrPaAs4
_chemical_formula_sum 'Dy2 Zr1 Pa1 As4'
_cell_length_a 6.9737
_cell_length_b 4.0482
_cell_length_c 7.0329
_cell_angle_alpha 90.00
_cell_angle_beta 109.33
_cell_angle_gamma 90.00
_space_group_name_H-M_alt 'P 1'
_space_group_IT_number 1
loop_
_space_group_symop_operation_xyz
'x,y,z'
loop_
_atom_site_label
_atom_site_fract_x
_atom_site_fract_y
_atom_site_fract_z
Dy1 0.0000 0.0000 0.0000
Dy2 0.5000 0.5000 0.0000
Zr1 0.0000 0.5000 0.5000
Pa1 0.5000 0.0000 0.5000
As1 0.2422 0.0000 0.7396
As2 0.2457 0.5000 0.2550
As3 0.7543 0.5000 0.7450
As4 0.7578 0.0000 0.2604
```

Calculated values
* ΔH_f (0 K): -10.4 eV/f.u.
* space-group type: P2/m (10)

Compound: CaAgPd
Source: Alexandria via LeMat-Bulk
Functional: PBE
Structure: relaxed

Geometry as CIF:
```
data_CaAgPd
_chemical_formula_sum 'Ca4 Ag4 Pd4'
_cell_length_a 10.3596
_cell_length_b 8.0179
_cell_length_c 7.5120
_cell_angle_alpha 83.62
_cell_angle_beta 50.28
_cell_angle_gamma 46.11
_space_group_name_H-M_alt 'P 1'
_space_group_IT_number 1
loop_
_space_group_symop_operation_xyz
'x,y,z'
loop_
_atom_site_label
_atom_site_fract_x
_atom_site_fract_y
_atom_site_fract_z
Ca1 0.0084 0.7429 0.2571
Ca2 0.2571 0.9916 0.0084
Ca3 0.7429 0.0084 0.9916
Ca4 0.9916 0.2571 0.7429
Ag1 0.3216 0.6784 0.3216
Ag2 0.4018 0.4018 0.5982
Ag3 0.5982 0.5982 0.4018
Ag4 0.6784 0.3216 0.6784
Pd1 0.1330 0.4879 0.5121
Pd2 0.4879 0.1330 0.8670
Pd3 0.5121 0.8670 0.1330
Pd4 0.8670 0.5121 0.4879
```

Calculated values
* ΔH_f (0 K): -1.0 eV/f.u.
* relative energy among the computed polymorphs: 192 meV/atom
* space-group type: Fmmm (69)

Compound: Zr4Ga3Tc
Source: Alexandria via LeMat-Bulk
Functional: PBE
Structure: relaxed

Geometry as CIF:
```
data_Zr4Ga3Tc
_chemical_formula_sum 'Zr4 Ga3 Tc1'
_cell_length_a 3.6967
_cell_length_b 4.0455
_cell_length_c 10.3589
_cell_angle_alpha 90.00
_cell_angle_beta 90.00
_cell_angle_gamma 90.00
_space_group_name_H-M_alt 'P 1'
_space_group_IT_number 1
loop_
_space_group_symop_operation_xyz
'x,y,z'
loop_
_atom_site_label
_atom_site_fract_x
_atom_site_fract_y
_atom_site_fract_z
Zr1 0.0000 0.0000 0.0000
Zr2 0.0000 0.5000 0.2824
Zr3 0.5000 0.0000 0.4904
Zr4 0.5000 0.5000 0.7902
Ga1 0.0000 0.0000 0.7235
Ga2 0.0000 0.5000 0.5627
Ga3 0.5000 0.5000 0.0608
Tc1 0.5000 0.0000 0.2289
```

Calculated values
* ΔH_f (0 K): -3.9 eV/f.u.
* space-group type: Pmm2 (25)

Compound: TbCeHo2S6
Source: Alexandria via LeMat-Bulk
Functional: PBE
Structure: relaxed

Geometry as CIF:
```
data_TbCeHo2S6
_chemical_formula_sum 'Tb1 Ce1 Ho2 S6'
_cell_length_a 7.3791
_cell_length_b 7.3791
_cell_length_c 7.3791
_cell_angle_alpha 56.49
_cell_angle_beta 56.49
_cell_angle_gamma 56.49
_space_group_name_H-M_alt 'P 1'
_space_group_IT_number 1
loop_
_space_group_symop_operation_xyz
'x,y,z'
loop_
_atom_site_label
_atom_site_fract_x
_atom_site_fract_y
_atom_site_fract_z
Tb1 0.0000 0.0000 0.0000
Ce1 0.4956 0.4956 0.4956
Ho1 0.2025 0.2025 0.2025
Ho2 0.6997 0.6997 0.6997
S1 0.0805 0.8195 0.4076
S2 0.3041 0.5956 0.9092
S3 0.4076 0.0805 0.8195
S4 0.5956 0.9092 0.3041
S5 0.8195 0.4076 0.0805
S6 0.9092 0.3041 0.5956
```

Calculated values
* formation energy without anion corrections: -20.230 eV/f.u.
* space-group type: R3 (146)

Compound: TaMo2Ru2
Source: Alexandria via LeMat-Bulk
Functional: PBE
Structure: relaxed

Geometry as CIF:
```
data_TaMo2Ru2
_chemical_formula_sum 'Ta2 Mo4 Ru4'
_cell_length_a 7.4533
_cell_length_b 7.4533
_cell_length_c 2.8738
_cell_angle_alpha 90.00
_cell_angle_beta 90.00
_cell_angle_gamma 90.00
_space_group_name_H-M_alt 'P 1'
_space_group_IT_number 1
loop_
_space_group_symop_operation_xyz
'x,y,z'
loop_
_atom_site_label
_atom_site_fract_x
_atom_site_fract_y
_atom_site_fract_z
Ta1 0.0000 0.0000 0.0000
Ta2 0.5000 0.5000 0.0000
Mo1 0.1685 0.3315 0.5000
Mo2 0.3315 0.8315 0.5000
Mo3 0.6685 0.1685 0.5000
Mo4 0.8315 0.6685 0.5000
Ru1 0.1303 0.6303 0.0000
Ru2 0.3697 0.1303 0.0000
Ru3 0.6303 0.8697 0.0000
Ru4 0.8697 0.3697 0.0000
```

Calculated values
* ΔH_f (0 K): 0.5 eV/f.u.
* space-group type: P4/mbm (127)

Compound: MnMo2AuS
Source: Alexandria via LeMat-Bulk
Functional: PBE
Structure: relaxed

Geometry as CIF:
```
data_MnMo2AuS
_chemical_formula_sum 'Mn1 Mo2 Au1 S1'
_cell_length_a 5.2301
_cell_length_b 5.2301
_cell_length_c 4.7312
_cell_angle_alpha 90.00
_cell_angle_beta 90.00
_cell_angle_gamma 90.00
_space_group_name_H-M_alt 'P 1'
_space_group_IT_number 1
loop_
_space_group_symop_operation_xyz
'x,y,z'
loop_
_atom_site_label
_atom_site_fract_x
_atom_site_fract_y
_atom_site_fract_z
Mn1 0.0000 0.0000 0.0000
Mo1 0.0000 0.5000 0.5000
Mo2 0.5000 0.0000 0.5000
Au1 0.5000 0.5000 0.5000
S1 0.5000 0.5000 0.0000
```

Calculated values
* formation energy without anion corrections: 10.602 eV/f.u.
* space-group type: P4/mmm (123)

Compound: PmTeIr
Source: Alexandria via LeMat-Bulk
Functional: PBE
Structure: relaxed

Geometry as CIF:
```
data_PmTeIr
_chemical_formula_sum 'Pm2 Te2 Ir2'
_cell_length_a 8.2952
_cell_length_b 8.2952
_cell_length_c 8.2952
_cell_angle_alpha 33.58
_cell_angle_beta 33.58
_cell_angle_gamma 33.58
_space_group_name_H-M_alt 'P 1'
_space_group_IT_number 1
loop_
_space_group_symop_operation_xyz
'x,y,z'
loop_
_atom_site_label
_atom_site_fract_x
_atom_site_fract_y
_atom_site_fract_z
Pm1 0.1215 0.1215 0.1215
Pm2 0.8785 0.8785 0.8785
Te1 0.3845 0.3845 0.3845
Te2 0.6155 0.6155 0.6155
Ir1 0.2548 0.2548 0.2548
Ir2 0.7452 0.7452 0.7452
```

Calculated values
* relative energy among the computed polymorphs: 304 meV/atom
* formation energy without anion corrections: -1.633 eV/f.u.
* space-group type: R-3m (166)

Compound: Tb8NiRh2
Source: Alexandria via LeMat-Bulk
Functional: PBE
Structure: relaxed

Geometry as CIF:
```
data_Tb8NiRh2
_chemical_formula_sum 'Tb8 Ni1 Rh2'
_cell_length_a 7.4610
_cell_length_b 7.4610
_cell_length_c 6.1322
_cell_angle_alpha 101.01
_cell_angle_beta 101.01
_cell_angle_gamma 112.25
_space_group_name_H-M_alt 'P 1'
_space_group_IT_number 1
loop_
_space_group_symop_operation_xyz
'x,y,z'
loop_
_atom_site_label
_atom_site_fract_x
_atom_site_fract_y
_atom_site_fract_z
Tb1 0.0000 0.0000 0.0000
Tb2 0.0148 0.2785 0.5674
Tb3 0.1502 0.5561 0.1876
Tb4 0.2785 0.0148 0.5674
Tb5 0.4398 0.7034 0.7914
Tb6 0.5561 0.1502 0.1876
Tb7 0.7034 0.4398 0.7914
Tb8 0.7128 0.7128 0.3742
Ni1 0.3568 0.3568 0.3835
Rh1 0.0472 0.6755 0.6861
Rh2 0.6755 0.0472 0.6861
```

Calculated values
* ΔH_f (0 K): -3.5 eV/f.u.
* space-group type: Cm (8)

Compound: Na2H2S
Source: Alexandria via LeMat-Bulk
Functional: PBE
Structure: relaxed

Geometry as CIF:
```
data_Na2H2S
_chemical_formula_sum 'Na2 H2 S1'
_cell_length_a 4.6667
_cell_length_b 4.6667
_cell_length_c 4.6667
_cell_angle_alpha 118.16
_cell_angle_beta 118.16
_cell_angle_gamma 93.22
_space_group_name_H-M_alt 'P 1'
_space_group_IT_number 1
loop_
_space_group_symop_operation_xyz
'x,y,z'
loop_
_atom_site_label
_atom_site_fract_x
_atom_site_fract_y
_atom_site_fract_z
Na1 0.2500 0.7500 0.5000
Na2 0.7500 0.2500 0.5000
H1 0.0595 0.0595 0.0000
H2 0.9405 0.9405 0.0000
S1 0.5000 0.5000 0.0000
```

Calculated values
* relative energy among the computed polymorphs: 0 meV/atom
* space-group type: I4/mmm (139)

Number 1: volume 580.5 Å³/cell. Number 2: volume 87.2 Å³/cell. Number 3: volume 121.6 Å³/cell. Number 4: volume 187.4 Å³/cell. Number 5: volume 277.0 Å³/cell. Number 6: volume 154.9 Å³/cell. Number 7: volume 261.0 Å³/cell. Number 8: volume 159.6 Å³/cell. Number 9: volume 129.4 Å³/cell. Number 10: volume 155.5 Å³/cell. Number 11: volume 296.8 Å³/cell. Number 12: volume 73.7 Å³/cell.